(1)
Compound: BaNbTl
Source: OQMD via LeMat-Bulk
Functional: GGA-PBE
Structure: optimized geometry

```
3
Lattice="-2.135 -4.734 1.288 -4.832 -1.351 -1.860 -0.464 -3.825 -3.713" Properties=species:S:1:pos:R:3 pbc="T T T"
Ba -1.858 -2.478 -1.071
Tl 0.000 0.000 0.000
Nb -5.573 -7.433 -3.213
```

## Properties
As for the space-group type: No. 216. The energy above the most stable polymorph in this dataset is 0.0 kJ/mol of formula units. For the final energy, the calculation gives -0.1421 Ha/atom.

=====

(2)
Compound: Nb2Pb3W4C3
Source: OQMD via LeMat-Bulk
Functional: GGA-PBE
Structure: optimized geometry

```
24
Lattice="4.911 -2.834 0.000 4.911 2.834 0.000 -3.009 0.000 13.894" Properties=species:S:1:pos:R:3 pbc="T T T"
C 2.556 -1.466 6.947
C 2.456 -1.417 0.000
C 0.951 1.417 6.947
C 4.060 1.466 0.000
C 4.258 1.466 6.947
C 5.762 -1.466 0.000
W -0.700 0.516 7.986
W 0.991 -0.449 5.913
W 7.514 -0.516 5.908
W -0.514 0.449 12.859
W 0.804 -0.516 1.039
W 5.823 0.449 7.981
W 7.327 -0.449 1.034
W 6.009 0.516 12.855
Pb 4.159 -2.416 3.473
Pb 5.844 0.501 3.472
Pb 0.970 -0.501 10.422
Pb 4.339 -0.501 10.419
Pb 2.474 0.501 3.475
Pb 2.655 2.416 10.420
Nb 2.622 0.461 8.103
Nb 2.687 0.461 12.737
Nb 4.126 -0.461 1.157
Nb 4.192 -0.461 5.790
```

## Properties
As for the space-group type: No. 15. For the final energy, the calculation gives -0.3307 Ha/atom.

=====

(3)
Compound: GaOs2Au
Source: OQMD via LeMat-Bulk
Functional: GGA-PBE
Structure: optimized geometry

```
4
Lattice="0.000 3.142 3.142 3.142 0.000 3.142 3.142 3.142 0.000" Properties=species:S:1:pos:R:3 pbc="T T T"
Os 4.713 4.713 4.713
Os 0.000 0.000 0.000
Au 1.571 1.571 1.571
Ga 3.142 3.142 3.142
```

## Properties
As for the space-group type: No. 216. For the final energy, the calculation gives -0.2422 Ha/atom.

=====

(4)
Compound: Li4MgZnPd2
Source: OQMD via LeMat-Bulk
Functional: GGA-PBE
Structure: optimized geometry

```
8
Lattice="-2.616 0.513 3.440 0.778 -4.109 1.205 4.840 1.912 3.395" Properties=species:S:1:pos:R:3 pbc="T T T"
Li 1.686 -1.542 1.512
Li 2.236 1.657 4.206
Li 2.420 0.956 1.698
Li -0.919 -1.798 2.323
Pd 3.975 -0.638 3.118
Pd -0.054 0.752 2.600
Mg 0.000 0.000 0.000
Zn 1.501 -0.842 4.020
```

## Properties
As for the space-group type: No. 115. For the final energy, the calculation gives -0.1109 Ha/atom.

=====

(5)
Compound: MgRe
Source: OQMD via LeMat-Bulk
Functional: GGA-PBE
Structure: optimized geometry

```
12
Lattice="5.250 0.000 0.000 0.000 8.284 0.000 0.000 0.000 4.505" Properties=species:S:1:pos:R:3 pbc="T T T"
Mg 1.483 2.285 2.253
Mg 2.681 6.561 0.000
Mg 0.148 5.879 0.000
Mg 0.056 3.103 0.000
Mg 4.108 7.379 2.253
Mg 2.773 3.785 0.000
Re 4.067 1.902 2.253
Re 3.069 0.948 0.000
Re 4.301 4.373 2.253
Re 1.442 7.762 2.253
Re 1.676 5.291 2.253
Re 0.444 0.432 0.000
```

## Properties
As for the space-group type: No. 26. The energy above the most stable polymorph in this dataset is 43.8 kJ/mol of formula units. For the final energy, the calculation gives -0.2457 Ha/atom.

=====

(6)
Compound: Ba2ZrInS6
Source: OQMD via LeMat-Bulk
Functional: GGA-PBE
Structure: optimized geometry

```
10
Lattice="-5.153 -4.479 2.205 4.563 -5.511 -0.532 1.727 5.717 3.977" Properties=species:S:1:pos:R:3 pbc="T T T"
Ba 2.998 -2.395 2.141
Ba -1.860 -1.879 3.509
S -2.739 -4.736 1.525
S 0.426 -4.632 3.258
S -0.443 -7.509 1.257
S -0.146 -2.482 0.416
S 2.150 -5.255 0.148
S 0.712 0.358 2.391
Zr 0.000 0.000 0.000
In -0.295 -4.995 0.836
```

## Properties
As for the space-group type: No. 225. For the final energy, the calculation gives -0.1952 Ha/atom.

=====

(7)
Compound: Ho2AlGaPt4
Source: OQMD via LeMat-Bulk
Functional: GGA-PBE
Structure: optimized geometry

```
8
Lattice="-3.882 1.837 0.754 0.225 -3.920 -1.896 -0.293 -3.986 8.205" Properties=species:S:1:pos:R:3 pbc="T T T"
Pt -1.265 -3.651 2.384
Pt -2.685 -2.418 4.678
Pt -1.168 -2.336 -0.324
Pt -2.781 -3.733 7.386
Ga -0.146 -1.993 4.102
Ho -1.363 -4.986 5.132
Ho -2.586 -1.082 1.930
Al 0.000 0.000 0.000
```

## Properties
As for the space-group type: No. 164. For the final energy, the calculation gives -0.2262 Ha/atom.

=====

(8)
Compound: Y2TmTl3AgPd2
Source: OQMD via LeMat-Bulk
Functional: GGA-PBE
Structure: optimized geometry

```
9
Lattice="3.752 0.000 0.000 0.000 6.855 3.970 0.000 -6.855 3.970" Properties=species:S:1:pos:R:3 pbc="T T T"
Tl 0.000 4.969 5.059
Tl 0.000 -4.969 5.059
Tl 0.000 0.000 5.762
Tm 1.876 0.000 3.228
Y 1.876 2.774 6.332
Y 1.876 -2.774 6.332
Pd 0.000 2.253 3.957
Pd 0.000 -2.253 3.957
Ag 1.876 0.000 0.013
```

## Properties
As for the space-group type: No. 38. For the final energy, the calculation gives -0.1740 Ha/atom.

=====

(9)
Compound: Pr3HgPt8
Source: OQMD via LeMat-Bulk
Functional: GGA-PBE
Structure: optimized geometry

```
12
Lattice="2.747 1.586 8.988 -2.747 1.586 8.988 0.000 -3.172 8.988" Properties=species:S:1:pos:R:3 pbc="T T T"
Pt -1.389 0.802 16.330
Pt -1.379 -0.796 20.762
Pt 0.000 1.592 20.762
Pt 0.000 0.000 5.069
Pt 0.000 0.000 18.548
Pt 1.389 0.802 16.330
Pt 0.000 -1.604 16.330
Pt 1.379 -0.796 20.762
Hg 0.000 0.000 23.478
Pr 0.000 0.000 10.186
Pr 0.000 0.000 26.752
Pr 0.000 0.000 13.665
```

## Properties
As for the space-group type: No. 160. The value obtained for the formation energy is -20.9 kcal/mol of atoms. For the final energy, the calculation gives -0.2264 Ha/atom.

=====

(10)
Compound: LiHfTcW
Source: OQMD via LeMat-Bulk
Functional: GGA-PBE
Structure: optimized geometry

```
4
Lattice="0.000 3.169 3.169 3.169 0.000 3.169 3.169 3.169 0.000" Properties=species:S:1:pos:R:3 pbc="T T T"
Tc 1.585 1.585 1.585
Hf 3.169 3.169 3.169
Li 4.754 4.754 4.754
W 0.000 0.000 0.000
```

## Properties
As for the space-group type: No. 216. The energy above the most stable polymorph in this dataset is 0.0 kJ/mol of formula units. For the final energy, the calculation gives -0.3213 Ha/atom.